Version one
Below is a geometry-optimized TbTmHgRh structure, with properties calculated at the PBE level.

```
data_TbTmHgRh
_cell_length_a 3.483
_cell_length_b 3.483
_cell_length_c 7.476
_cell_angle_alpha 90.00
_cell_angle_beta 90.00
_cell_angle_gamma 90.00
_space_group_name_H-M_alt 'P 4 m m'
_space_group_IT_number 99
loop_
_space_group_symop_operation_xyz
'x,y,z'
'-y,x,z'
'-x,-y,z'
'y,-x,z'
'-x,y,z'
'y,x,z'
'x,-y,z'
'-y,-x,z'
loop_
_atom_site_label
_atom_site_type_symbol
_atom_site_fract_x
_atom_site_fract_y
_atom_site_fract_z
Tb1 Tb 0.000 0.000 0.000
Tm1 Tm 0.000 0.000 0.559
Hg1 Hg 0.500 0.500 0.287
Rh1 Rh 0.500 0.500 0.772
```

Calculated values
DOS at the Fermi energy = 2.37 states/eV/f.u.
M_tot = 0.000 μB/f.u.

***

Version two
Below is a geometry-optimized TbTmHgRh structure, with properties calculated at the PBE level.

```
data_TbTmHgRh
_cell_length_a 7.111
_cell_length_b 7.111
_cell_length_c 7.111
_cell_angle_alpha 90.00
_cell_angle_beta 90.00
_cell_angle_gamma 90.00
_space_group_name_H-M_alt 'F -4 3 m'
_space_group_IT_number 216
_space_group_name_Hall 'F -4 2 3'
loop_
_atom_site_label
_atom_site_type_symbol
_atom_site_fract_x
_atom_site_fract_y
_atom_site_fract_z
Tb1 Tb 0.000 0.000 0.000
Tm1 Tm 0.000 0.000 0.500
Hg1 Hg 0.250 0.250 0.250
Rh1 Rh 0.250 0.250 0.750
```

Calculated values
DOS at the Fermi energy = 2.32 states/eV/f.u.
M_tot = 0.000 μB/f.u.

***

Ranked by calculated energy, most stable first: version one, version two.

***

Version one
Below is a geometry-optimized Ti3HgRh structure, with properties calculated at the PBE level.

```
data_Ti3HgRh
_cell_length_a 4.725
_cell_length_b 4.725
_cell_length_c 4.725
_cell_angle_alpha 90.00
_cell_angle_beta 90.00
_cell_angle_gamma 90.00
_space_group_name_H-M_alt 'P m -3 m'
_space_group_IT_number 221
_space_group_name_Hall '-P 4 2 3'
loop_
_atom_site_label
_atom_site_type_symbol
_atom_site_fract_x
_atom_site_fract_y
_atom_site_fract_z
Ti1 Ti 0.000 0.000 0.500
Hg1 Hg 0.500 0.500 0.500
Rh1 Rh 0.000 0.000 0.000
```

Calculated values
DOS at the Fermi energy = 10.30 states/eV/f.u.
M_tot = 0.746 μB/f.u.

***

Version two
Below is a geometry-optimized Ti3HgRh structure, with properties calculated at the PBE level.

```
data_Ti3HgRh
_cell_length_a 4.890
_cell_length_b 4.890
_cell_length_c 4.890
_cell_angle_alpha 90.00
_cell_angle_beta 90.00
_cell_angle_gamma 90.00
_space_group_name_H-M_alt 'P m -3 m'
_space_group_IT_number 221
_space_group_name_Hall '-P 4 2 3'
loop_
_atom_site_label
_atom_site_type_symbol
_atom_site_fract_x
_atom_site_fract_y
_atom_site_fract_z
Ti1 Ti 0.000 0.000 0.500
Hg1 Hg 0.000 0.000 0.000
Rh1 Rh 0.500 0.500 0.500
```

Calculated values
DOS at the Fermi energy = 7.18 states/eV/f.u.
M_tot = 1.512 μB/f.u.

***

Ranked by calculated energy, most stable first: version one, version two.

***

Version one
Below is a geometry-optimized Ti2HgRh2 structure, with properties calculated at the PBE level.

```
data_Ti2HgRh2
_cell_length_a 3.855
_cell_length_b 3.855
_cell_length_c 12.280
_cell_angle_alpha 90.00
_cell_angle_beta 90.00
_cell_angle_gamma 90.00
_space_group_name_H-M_alt 'I 4/m m m'
_space_group_IT_number 139
_space_group_name_Hall '-I 4 2'
loop_
_atom_site_label
_atom_site_type_symbol
_atom_site_fract_x
_atom_site_fract_y
_atom_site_fract_z
Ti1 Ti 0.000 0.000 0.119
Hg1 Hg 0.000 0.000 0.500
Rh1 Rh 0.000 0.500 0.250
```

Calculated values
DOS at the Fermi energy = 3.07 states/eV/f.u.
M_tot = 0.000 μB/f.u.

***

Version two
Below is a geometry-optimized Ti2HgRh2 structure, with properties calculated at the PBE level.

```
data_Ti2HgRh2
_cell_length_a 7.593
_cell_length_b 7.593
_cell_length_c 2.920
_cell_angle_alpha 90.00
_cell_angle_beta 90.00
_cell_angle_gamma 90.00
_space_group_name_H-M_alt 'P 4/m b m'
_space_group_IT_number 127
_space_group_name_Hall '-P 4 2ab'
loop_
_atom_site_label
_atom_site_type_symbol
_atom_site_fract_x
_atom_site_fract_y
_atom_site_fract_z
Ti1 Ti 0.147 0.353 0.000
Hg1 Hg 0.000 0.000 0.000
Rh1 Rh 0.140 0.640 0.500
```

Calculated values
DOS at the Fermi energy = 4.93 states/eV/f.u.
M_tot = 0.000 μB/f.u.

***

Version three
Below is a geometry-optimized Ti2HgRh2 structure, with properties calculated at the PBE level.

```
data_Ti2HgRh2
_cell_length_a 7.445
_cell_length_b 7.445
_cell_length_c 2.976
_cell_angle_alpha 90.00
_cell_angle_beta 90.00
_cell_angle_gamma 90.00
_space_group_name_H-M_alt 'P 4/m b m'
_space_group_IT_number 127
_space_group_name_Hall '-P 4 2ab'
loop_
_atom_site_label
_atom_site_type_symbol
_atom_site_fract_x
_atom_site_fract_y
_atom_site_fract_z
Ti1 Ti 0.159 0.341 0.000
Hg1 Hg 0.000 0.000 0.500
Rh1 Rh 0.135 0.635 0.500
```

Calculated values
DOS at the Fermi energy = 6.11 states/eV/f.u.
M_tot = 0.000 μB/f.u.

***

Ranked by calculated energy, most stable first: version three, version two, version one.

***

Version one
Below is a geometry-optimized Tl2HgRh2 structure, with properties calculated at the PBE level.

```
data_Tl2HgRh2
_cell_length_a 8.016
_cell_length_b 8.016
_cell_length_c 3.119
_cell_angle_alpha 90.00
_cell_angle_beta 90.00
_cell_angle_gamma 90.00
_space_group_name_H-M_alt 'P 4/m b m'
_space_group_IT_number 127
_space_group_name_Hall '-P 4 2ab'
loop_
_atom_site_label
_atom_site_type_symbol
_atom_site_fract_x
_atom_site_fract_y
_atom_site_fract_z
Tl1 Tl 0.156 0.344 0.000
Hg1 Hg 0.000 0.000 0.000
Rh1 Rh 0.139 0.639 0.500
```

Calculated values
DOS at the Fermi energy = 2.47 states/eV/f.u.
M_tot = 0.000 μB/f.u.

***

Version two
Below is a geometry-optimized Tl2HgRh2 structure, with properties calculated at the PBE level.

```
data_Tl2HgRh2
_cell_length_a 4.302
_cell_length_b 4.302
_cell_length_c 11.964
_cell_angle_alpha 90.00
_cell_angle_beta 90.00
_cell_angle_gamma 90.00
_space_group_name_H-M_alt 'I 4/m m m'
_space_group_IT_number 139
_space_group_name_Hall '-I 4 2'
loop_
_atom_site_label
_atom_site_type_symbol
_atom_site_fract_x
_atom_site_fract_y
_atom_site_fract_z
Tl1 Tl 0.000 0.500 0.250
Hg1 Hg 0.000 0.000 0.000
Rh1 Rh 0.000 0.000 0.395
```

Calculated values
DOS at the Fermi energy = 2.29 states/eV/f.u.
M_tot = 0.000 μB/f.u.

***

Ranked by calculated energy, most stable first: version one, version two.

***

Version one
Below is a geometry-optimized Tl2HgRh2 structure, with properties calculated at the PBE level.

```
data_Tl2HgRh2
_cell_length_a 3.662
_cell_length_b 3.662
_cell_length_c 17.867
_cell_angle_alpha 90.00
_cell_angle_beta 90.00
_cell_angle_gamma 90.00
_space_group_name_H-M_alt 'I 4/m m m'
_space_group_IT_number 139
_space_group_name_Hall '-I 4 2'
loop_
_atom_site_label
_atom_site_type_symbol
_atom_site_fract_x
_atom_site_fract_y
_atom_site_fract_z
Tl1 Tl 0.000 0.000 0.122
Hg1 Hg 0.000 0.000 0.500
Rh1 Rh 0.000 0.500 0.250
```

Calculated values
DOS at the Fermi energy = 5.42 states/eV/f.u.
M_tot = 0.826 μB/f.u.

***

Version two
Below is a geometry-optimized Tl2HgRh2 structure, with properties calculated at the PBE level.

```
data_Tl2HgRh2
_cell_length_a 7.218
_cell_length_b 7.218
_cell_length_c 3.841
_cell_angle_alpha 90.00
_cell_angle_beta 90.00
_cell_angle_gamma 90.00
_space_group_name_H-M_alt 'P 4/m b m'
_space_group_IT_number 127
_space_group_name_Hall '-P 4 2ab'
loop_
_atom_site_label
_atom_site_type_symbol
_atom_site_fract_x
_atom_site_fract_y
_atom_site_fract_z
Tl1 Tl 0.159 0.341 0.000
Hg1 Hg 0.000 0.000 0.500
Rh1 Rh 0.143 0.643 0.500
```

Calculated values
DOS at the Fermi energy = 4.11 states/eV/f.u.
M_tot = 0.000 μB/f.u.

***

Ranked by calculated energy, most stable first: version two, version one.